La2Cr2Sb | PBE | optimized geometry

Computed properties:
* SG: No. 139
* DOS at the Fermi energy: 3.63 states/eV/cell
* formation energy from raw total energies: 311 meV/atom
* crystal system: tetragonal
* energy: -6.3339 eV/atom

Cell lengths 5.7335, 5.7335, 5.7335 Å; angles 119.19, 119.19, 91.40 degrees
Closest atoms and distances in Å follow each position.
Atoms (fractional coordinates):
La  0.2500  0.7500  0.5000  4 Cr 2.99
La  0.7500  0.2500  0.5000  4 Cr 2.99
Cr  0.6590  0.6590  0.0000  1 Cr 2.55, 1 Sb 2.73
Cr  0.3410  0.3410  0.0000  1 Cr 2.55, 1 Sb 2.73
Sb  0.0000  0.0000  0.0000  2 Cr 2.73